No. 1
A plane-wave DFT calculation with GGA-PBE was carried out for crystalline Na3Pb5S12 at its relaxed geometry.

Its crystal system is cubic. For the total energy, the calculation gives -606.2 eV per cell.

It has space group Ia-3d (No. 230), with a = 16.284 Å, b = 16.284 Å, c = 16.284 Å, α = 90.00°, β = 90.00° and γ = 90.00°. The inequivalent atoms are Na at (0.000, 0.250, 0.125), Pb at (0.000, 0.000, 0.000), Pb at (0.000, 0.250, 0.375) and S at (0.023, 0.065, 0.651).

***

No. 2
A plane-wave DFT calculation with GGA-PBE was carried out for crystalline NaPb2S3 at its relaxed geometry.

Its crystal system is monoclinic. The calculation puts the energy above the most stable polymorph in this dataset at 72 kJ/mol of formula units. For the total energy, the calculation gives -96.0 eV per cell.

It has space group C2/c (No. 15), with a = 12.178 Å, b = 7.242 Å, c = 7.584 Å, α = 90.00°, β = 90.05° and γ = 90.00°. The inequivalent atoms are Na at (0.000, 0.133, 0.250), Pb at (0.187, 0.300, 0.750), S at (0.000, 0.483, 0.750) and S at (0.171, 0.000, 0.000).

***

No. 3
A plane-wave DFT calculation with GGA-PBE was carried out for crystalline Na2PbS2 at its relaxed geometry.

Its crystal system is monoclinic. The calculation puts the energy above the most stable polymorph in this dataset at 0 kJ/mol of formula units. For the total energy, the calculation gives -74.7 eV per cell.

It has space group P2_1/c (No. 14), with a = 9.973 Å, b = 7.577 Å, c = 7.159 Å, α = 90.00°, β = 97.38° and γ = 90.00°. The inequivalent atoms are Na at (0.000, 0.243, 0.002), Na at (0.334, 0.633, 0.068), Pb at (0.349, 0.169, 0.958), S at (0.131, 0.503, 0.266) and S at (0.444, 0.564, 0.733).

***

No. 4
A plane-wave DFT calculation with GGA-PBE was carried out for crystalline Na2PbS at its relaxed geometry.

Its crystal system is cubic. The calculation puts the energy above the most stable polymorph in this dataset at 73 kJ/mol of formula units. For the total energy, the calculation gives -45.1 eV per cell.

It has space group Fm-3m (No. 225), with a = 7.335 Å, b = 7.335 Å, c = 7.335 Å, α = 90.00°, β = 90.00° and γ = 90.00°. The inequivalent atoms are Na at (0.250, 0.250, 0.250), Pb at (0.000, 0.000, 0.000) and S at (0.000, 0.000, 0.500).

***

No. 5
A plane-wave DFT calculation with GGA-PBE was carried out for crystalline NaPbS2 at its relaxed geometry.

Its crystal system is tetragonal. For the total energy, the calculation gives -61.8 eV per cell.

It has space group I-42d (No. 122), with a = 6.313 Å, b = 6.313 Å, c = 12.791 Å, α = 90.00°, β = 90.00° and γ = 90.00°. The inequivalent atoms are Na at (0.000, 0.000, 0.000), Pb at (0.000, 0.000, 0.500) and S at (0.230, 0.250, 0.625).

***

No. 6
A plane-wave DFT calculation with GGA-PBE was carried out for crystalline Na2PbS2 at its relaxed geometry.

Its crystal system is tetragonal. The calculation puts the energy above the most stable polymorph in this dataset at 107 kJ/mol of formula units. For the total energy, the calculation gives -35.2 eV per cell.

It has space group I4/mmm (No. 139), with a = 4.078 Å, b = 4.078 Å, c = 13.904 Å, α = 90.00°, β = 90.00° and γ = 90.00°. The inequivalent atoms are Na at (0.000, 0.500, 0.250), Pb at (0.000, 0.000, 0.000) and S at (0.000, 0.000, 0.381).

***

No. 7
A plane-wave DFT calculation with GGA-PBE was carried out for crystalline Na2PbS2 at its relaxed geometry.

Its crystal system is tetragonal. The calculation puts the energy above the most stable polymorph in this dataset at 75 kJ/mol of formula units. For the total energy, the calculation gives -35.8 eV per cell.

It has space group P4/mbm (No. 127), with a = 7.757 Å, b = 7.757 Å, c = 3.866 Å, α = 90.00°, β = 90.00° and γ = 90.00°. The inequivalent atoms are Na at (0.132, 0.368, 0.000), Pb at (0.000, 0.000, 0.500) and S at (0.176, 0.676, 0.500).

***

No. 8
A plane-wave DFT calculation with GGA-PBE was carried out for crystalline Na2PbS2 at its relaxed geometry.

Its crystal system is monoclinic. The calculation puts the energy above the most stable polymorph in this dataset at 43 kJ/mol of formula units. For the total energy, the calculation gives -72.9 eV per cell.

It has space group C2/m (No. 12), with a = 13.652 Å, b = 5.251 Å, c = 9.286 Å, α = 90.00°, β = 110.06° and γ = 90.00°. The inequivalent atoms are Na at (0.007, 0.000, 0.313), Na at (0.169, 0.500, 0.519), Pb at (0.176, 0.500, 0.114), S at (0.026, 0.500, 0.218) and S at (0.172, 0.000, 0.615).

***

No. 9
A plane-wave DFT calculation with GGA-PBE was carried out for crystalline NaPbS2 at its relaxed geometry.

Its crystal system is trigonal. For the total energy, the calculation gives -46.8 eV per cell.

It has space group R3m (No. 160, hexagonal axes), with a = 3.9870 Å, b = 3.9870 Å, c = 21.2921 Å, α = 90.00°, β = 90.00° and γ = 120.00°. The inequivalent atoms are Na at (0.0000, 0.0000, 0.0000), Pb at (0.0000, 0.0000, 0.8310), S at (0.0000, 0.0000, 0.2435) and S at (0.0000, 0.0000, 0.4188).

***

No. 10
A plane-wave DFT calculation with GGA-PBE was carried out for crystalline Na2SbPbS at its relaxed geometry.

Its crystal system is tetragonal. For the total energy, the calculation gives -12.6 eV per cell.

It has space group P4/mmm (No. 123), with a = 6.181 Å, b = 6.181 Å, c = 5.173 Å, α = 90.00°, β = 90.00° and γ = 90.00°. The inequivalent atoms are Na at (0.000, 0.500, 0.000), Sb at (0.000, 0.000, 0.500), Pb at (0.500, 0.500, 0.000) and S at (0.500, 0.500, 0.500).

***

No. 11
A plane-wave DFT calculation with GGA-PBE was carried out for crystalline NaSbPb2S4 at its relaxed geometry.

Its crystal system is orthorhombic. For the total energy, the calculation gives -135.4 eV per cell.

It has space group Imma (No. 74), with a = 8.233 Å, b = 8.308 Å, c = 11.540 Å, α = 90.00°, β = 90.00° and γ = 90.00°. The inequivalent atoms are Na at (0.000, 0.000, 0.000), Sb at (0.250, 0.250, 0.250), Pb at (0.000, 0.000, 0.500), Pb at (0.250, 0.250, 0.750), S at (0.000, 0.017, 0.244) and S at (0.246, 0.250, 0.010).

***

No. 12
A plane-wave DFT calculation with GGA-PBE was carried out for crystalline Na2SbPbS4 at its relaxed geometry.

Its crystal system is orthorhombic. For the total energy, the calculation gives -127.8 eV per cell.

It has space group Imma (No. 74), with a = 8.036 Å, b = 8.173 Å, c = 11.502 Å, α = 90.00°, β = 90.00° and γ = 90.00°. The inequivalent atoms are Na at (0.000, 0.000, 0.000), Na at (0.250, 0.250, 0.250), Sb at (0.250, 0.250, 0.750), Pb at (0.000, 0.000, 0.500), S at (0.000, 0.017, 0.753) and S at (0.247, 0.250, 0.989).

***

No. 13
A plane-wave DFT calculation with GGA-PBE was carried out for crystalline Na2ScPbS4 at its relaxed geometry.

Its crystal system is monoclinic. For the total energy, the calculation gives -38.5 eV per cell.

It has space group P2/m (No. 10), with a = 6.854 Å, b = 3.885 Å, c = 7.079 Å, α = 90.00°, β = 108.56° and γ = 90.00°. The inequivalent atoms are Na at (0.000, 0.000, 0.000), Na at (0.500, 0.500, 0.000), Sc at (0.000, 0.500, 0.500), Pb at (0.500, 0.000, 0.500), S at (0.223, 0.000, 0.719) and S at (0.233, 0.500, 0.271).

***

No. 14
A plane-wave DFT calculation with GGA-PBE was carried out for crystalline Na2SnPbS4 at its relaxed geometry.

Its crystal system is orthorhombic. For the total energy, the calculation gives -65.7 eV per cell.

It has space group Pmn2_1 (No. 31), with a = 9.828 Å, b = 7.594 Å, c = 6.149 Å, α = 90.00°, β = 90.00° and γ = 90.00°. The inequivalent atoms are Na at (0.250, 0.182, 0.000), Sn at (0.000, 0.334, 0.554), Pb at (0.000, 0.695, 0.007), S at (0.000, 0.347, 0.953), S at (0.000, 0.646, 0.458) and S at (0.211, 0.187, 0.469).

***

No. 15
A plane-wave DFT calculation with GGA-PBE was carried out for crystalline Na2SnPb3S6 at its relaxed geometry.

Its crystal system is monoclinic. For the total energy, the calculation gives -101.0 eV per cell.

It has space group C2/m (No. 12), with a = 7.200 Å, b = 12.373 Å, c = 7.044 Å, α = 90.00°, β = 109.52° and γ = 90.00°. The inequivalent atoms are Na at (0.000, 0.168, 0.000), Sn at (0.000, 0.500, 0.000), Pb at (0.000, 0.000, 0.500), Pb at (0.000, 0.336, 0.500), S at (0.224, 0.351, 0.219) and S at (0.226, 0.500, 0.756).

***

No. 16
A plane-wave DFT calculation with GGA-PBE was carried out for crystalline NaSn3Pb2S6 at its relaxed geometry.

Its crystal system is monoclinic. For the total energy, the calculation gives -103.7 eV per cell.

It has space group C2/m (No. 12), with a = 18.038 Å, b = 4.092 Å, c = 8.316 Å, α = 90.00°, β = 103.90° and γ = 90.00°. The inequivalent atoms are Na at (0.000, 0.000, 0.000), Sn at (0.000, 0.000, 0.500), Sn at (0.163, 0.500, 0.836), Pb at (0.163, 0.500, 0.327), S at (0.003, 0.500, 0.743), S at (0.164, 0.000, 0.586) and S at (0.167, 0.000, 0.074).

***

No. 17
A plane-wave DFT calculation with GGA-PBE was carried out for crystalline NaSn4PbS8 at its relaxed geometry.

Its crystal system is trigonal. For the total energy, the calculation gives -181.0 eV per cell.

It has space group R3m (No. 160, hexagonal axes), with a = 7.6720 Å, b = 7.6720 Å, c = 22.3633 Å, α = 90.00°, β = 90.00° and γ = 120.00°. The inequivalent atoms are Na at (0.0000, 0.0000, 0.0000), Sn at (0.0000, 0.0000, 0.6177), Sn at (0.0000, 0.5000, 0.4990), Pb at (0.0000, 0.0000, 0.3757), S at (0.0000, 0.0000, 0.2311), S at (0.0000, 0.0000, 0.7672), S at (0.0275, 0.5137, 0.7643) and S at (0.1776, 0.3552, 0.5685).

***

No. 18
A plane-wave DFT calculation with GGA-PBE was carried out for crystalline NaSnPbS3 at its relaxed geometry.

Its crystal system is monoclinic. For the total energy, the calculation gives -49.0 eV per cell.

It has space group P2_1/m (No. 11), with a = 8.779 Å, b = 3.797 Å, c = 10.991 Å, α = 90.00°, β = 92.26° and γ = 90.00°. The inequivalent atoms are Na at (0.155, 0.250, 0.069), Sn at (0.380, 0.750, 0.378), Pb at (0.124, 0.250, 0.712), S at (0.164, 0.750, 0.888), S at (0.183, 0.250, 0.323) and S at (0.383, 0.750, 0.610).

***

No. 19
A plane-wave DFT calculation with GGA-PBE was carried out for crystalline NaSnPb2S4 at its relaxed geometry.

Its crystal system is monoclinic. For the total energy, the calculation gives -33.9 eV per cell.

It has space group P2/m (No. 10), with a = 7.033 Å, b = 4.111 Å, c = 7.123 Å, α = 90.00°, β = 108.16° and γ = 90.00°. The inequivalent atoms are Na at (0.000, 0.000, 0.000), Sn at (0.000, 0.500, 0.500), Pb at (0.500, 0.000, 0.500), Pb at (0.500, 0.500, 0.000), S at (0.231, 0.000, 0.742) and S at (0.235, 0.500, 0.255).